GdFe2Si2 | Alexandria via LeMat-Bulk | SCAN | PBEsol geometry; uncorrected formation energy = -2.7 eV per formula unit; calculated volume = 146.0 Å³/cell; VASP energy = -235.60 eV for the cell shown
1.0
3.925 0.000 0.000
0.000 3.925 0.000
0.000 0.000 9.475
Gd Fe Si
2 4 4
Cartesian
0.000 0.000 0.000
1.963 1.963 4.737
0.000 1.963 2.369
0.000 1.963 7.106
1.963 0.000 2.369
1.963 0.000 7.106
0.000 0.000 3.460
0.000 0.000 6.015
1.963 1.963 1.278
1.963 1.963 8.197